(i)
VASP calculation (PBE-GGA) on a relaxed structure of Ti3HPb.

The structure belongs to space group C2/c (No. 15); the cell edges are 11.652, 9.908 and 5.847 Å and the angles 90.00°, 107.27° and 90.00°. The distinct sites, in fractional coordinates, are Ti at (0.138, 0.036, 0.434), Ti at (0.150, 0.447, 0.705), Ti at (0.232, 0.298, 0.208), H at (0.189, 0.106, 0.177), Pb at (0.000, 0.201, 0.750) and Pb at (0.000, 0.317, 0.250).

The calculation puts the volume at 81 Å³/f.u. Its density of states at the Fermi level is 5.0 states/eV/f.u.


(ii)
VASP calculation (PBE-GGA) on a relaxed structure of Ti3HPb.

The structure belongs to space group P4mm (No. 99); the cell edges are 3.697, 3.697 and 7.419 Å and the angles 90.00°, 90.00° and 90.00°. The distinct sites, in fractional coordinates, are Ti at (0.000, 0.000, 0.000), Ti at (0.000, 0.500, 0.724), H at (0.500, 0.500, 0.642) and Pb at (0.000, 0.000, 0.389).

The calculation puts the volume at 101 Å³/f.u. Its density of states at the Fermi level is 5.9 states/eV/f.u.


(iii)
VASP calculation (PBE-GGA) on a relaxed structure of Ti3HPb.

The structure belongs to space group Pm-3m (No. 221); the cell edges are 4.209, 4.209 and 4.209 Å and the angles 90.00°, 90.00° and 90.00°. The distinct sites, in fractional coordinates, are Ti at (0.000, 0.000, 0.500), H at (0.000, 0.000, 0.000) and Pb at (0.500, 0.500, 0.500).

The calculation puts the volume at 75 Å³/f.u. Its density of states at the Fermi level is 19.6 states/eV/f.u.


(iv)
VASP calculation (PBE-GGA) on a relaxed structure of Ti3HPb.

The structure belongs to space group Fd-3m (No. 227, origin choice 2); the cell edges are 11.104, 11.104 and 11.104 Å and the angles 90.00°, 90.00° and 90.00°. The distinct sites, in fractional coordinates, are Ti at (0.058, 0.375, 0.375), H at (0.000, 0.000, 0.000) and Pb at (0.000, 0.000, 0.500).

The calculation puts the volume at 86 Å³/f.u. Its density of states at the Fermi level is 6.8 states/eV/f.u.


Of them, (iii) has the highest stability.


(i)
VASP calculation (PBE-GGA) on a relaxed structure of Ti3HPb.

The structure belongs to space group P1 (No. 1); the cell edges are 5.148, 5.881 and 5.883 Å and the angles 61.89°, 79.72° and 79.79°. The distinct sites, in fractional coordinates, are Ti at (0.000, 0.000, 0.000), Ti at (0.006, 0.495, 0.507), Ti at (0.384, 0.751, 0.763), Ti at (0.392, 0.257, 0.260), Ti at (0.467, 0.265, 0.767), Ti at (0.923, 0.493, 0.997), H at (0.196, 0.229, 0.032), H at (0.792, 0.329, 0.832), Pb at (0.505, 0.739, 0.249) and Pb at (0.886, 0.008, 0.519).

The calculation puts the volume at 77 Å³/f.u. Its density of states at the Fermi level is 3.4 states/eV/f.u.


(ii)
VASP calculation (PBE-GGA) on a relaxed structure of Ti3HPb.

The structure belongs to space group P6_3/mmc (No. 194); the cell edges are 3.1750, 3.1750 and 18.6345 Å and the angles 90.00°, 90.00° and 120.00°. The distinct sites, in fractional coordinates, are Ti at (0.0000, 0.0000, 0.2500), Ti at (0.3333, 0.6667, 0.1325), H at (0.3333, 0.6667, 0.2500) and Pb at (0.0000, 0.0000, 0.0000).

The calculation puts the volume at 81 Å³/f.u. Its density of states at the Fermi level is 5.6 states/eV/f.u.


(iii)
VASP calculation (PBE-GGA) on a relaxed structure of Ti3HPb.

The structure belongs to space group C2/m (No. 12); the cell edges are 13.622, 4.696 and 5.576 Å and the angles 90.00°, 114.01° and 90.00°. The distinct sites, in fractional coordinates, are Ti at (0.062, 0.000, 0.263), Ti at (0.101, 0.500, 0.022), Ti at (0.212, 0.500, 0.571), H at (0.053, 0.500, 0.294) and Pb at (0.160, 0.000, 0.816).

The calculation puts the volume at 81 Å³/f.u. Its density of states at the Fermi level is 3.5 states/eV/f.u.


Of them, (i) has the highest stability.


(i)
VASP calculation (PBE-GGA) on a relaxed structure of TiHPb3.

The structure belongs to space group Pm-3m (No. 221); the cell edges are 4.803, 4.803 and 4.803 Å and the angles 90.00°, 90.00° and 90.00°. The distinct sites, in fractional coordinates, are Ti at (0.000, 0.000, 0.000), H at (0.500, 0.500, 0.500) and Pb at (0.000, 0.500, 0.500).

The calculation puts the volume at 111 Å³/f.u. Its density of states at the Fermi level is 4.7 states/eV/f.u.


(ii)
VASP calculation (PBE-GGA) on a relaxed structure of TiHPb3.

The structure belongs to space group Pm-3m (No. 221); the cell edges are 5.417, 5.417 and 5.417 Å and the angles 90.00°, 90.00° and 90.00°. The distinct sites, in fractional coordinates, are Ti at (0.000, 0.000, 0.000), H at (0.500, 0.500, 0.500) and Pb at (0.000, 0.000, 0.500).

The calculation puts the volume at 159 Å³/f.u. Its density of states at the Fermi level is 3.1 states/eV/f.u.


Of them, (i) has the highest stability.


(i)
VASP calculation (PBE-GGA) on a relaxed structure of Ti4HPb.

The structure belongs to space group P2_1 (No. 4); the cell edges are 4.587, 5.742 and 7.351 Å and the angles 90.00°, 108.19° and 90.00°. The distinct sites, in fractional coordinates, are Ti at (0.000, 0.000, 0.000), Ti at (0.198, 0.496, 0.396), Ti at (0.199, 0.998, 0.397), Ti at (0.393, 0.749, 0.786), H at (0.098, 0.248, 0.197) and Pb at (0.395, 0.249, 0.790).

The calculation puts the volume at 92 Å³/f.u. Its density of states at the Fermi level is 6.7 states/eV/f.u.


(ii)
VASP calculation (PBE-GGA) on a relaxed structure of Ti4HPb.

The structure belongs to space group Pmma (No. 51); the cell edges are 7.550, 3.050 and 8.730 Å and the angles 90.00°, 90.00° and 90.00°. The distinct sites, in fractional coordinates, are Ti at (0.000, 0.000, 0.000), Ti at (0.071, 0.500, 0.274), Ti at (0.250, 0.500, 0.826), H at (0.250, 0.000, 0.950) and Pb at (0.250, 0.000, 0.535).

The calculation puts the volume at 101 Å³/f.u. Its density of states at the Fermi level is 5.9 states/eV/f.u.


Of them, (i) has the highest stability.


(i)
VASP calculation (PBE-GGA) on a relaxed structure of TiHPb.

The structure belongs to space group P-6m2 (No. 187); the cell edges are 3.3538, 3.3538 and 4.5843 Å and the angles 90.00°, 90.00° and 120.00°. The distinct sites, in fractional coordinates, are Ti at (0.0000, 0.0000, 0.0000), H at (0.6667, 0.3333, 0.0000) and Pb at (0.3333, 0.6667, 0.5000).

The calculation puts the volume at 45 Å³/f.u. Its density of states at the Fermi level is 1.6 states/eV/f.u.


(ii)
VASP calculation (PBE-GGA) on a relaxed structure of TiHPb.

The structure belongs to space group Cm (No. 8); the cell edges are 10.628, 3.146 and 7.370 Å and the angles 90.00°, 130.77° and 90.00°. The distinct sites, in fractional coordinates, are Ti at (0.000, 0.000, 0.000), Ti at (0.138, 0.000, 0.782), H at (0.105, 0.500, 0.951), H at (0.261, 0.500, 0.842), Pb at (0.289, 0.000, 0.538) and Pb at (0.432, 0.000, 0.290).

The calculation puts the volume at 47 Å³/f.u. Its density of states at the Fermi level is 2.0 states/eV/f.u.


Of them, (i) has the highest stability.


(i)
VASP calculation (PBE-GGA) on a relaxed structure of TiHPb2.

The structure belongs to space group I-42d (No. 122); the cell edges are 6.803, 6.803 and 6.761 Å and the angles 90.00°, 90.00° and 90.00°. The distinct sites, in fractional coordinates, are Ti at (0.000, 0.000, 0.000), H at (0.000, 0.000, 0.500) and Pb at (0.175, 0.250, 0.625).

The calculation puts the volume at 78 Å³/f.u. Its density of states at the Fermi level is 3.2 states/eV/f.u.


(ii)
VASP calculation (PBE-GGA) on a relaxed structure of TiHPb2.

The structure belongs to space group Fm-3m (No. 225); the cell edges are 6.966, 6.966 and 6.966 Å and the angles 90.00°, 90.00° and 90.00°. The distinct sites, in fractional coordinates, are Ti at (0.000, 0.000, 0.000), H at (0.000, 0.000, 0.500) and Pb at (0.250, 0.250, 0.250).

The calculation puts the volume at 85 Å³/f.u. Its density of states at the Fermi level is 5.4 states/eV/f.u.


Of them, (i) has the highest stability.


(i)
VASP calculation (PBE-GGA) on a relaxed structure of TiH3Pb.

The structure belongs to space group Pm-3m (No. 221); the cell edges are 3.778, 3.778 and 3.778 Å and the angles 90.00°, 90.00° and 90.00°. The distinct sites, in fractional coordinates, are Ti at (0.000, 0.000, 0.000), H at (0.000, 0.000, 0.500) and Pb at (0.500, 0.500, 0.500).

The calculation puts the volume at 54 Å³/f.u. Its density of states at the Fermi level is 3.4 states/eV/f.u.


(ii)
VASP calculation (PBE-GGA) on a relaxed structure of TiH3Pb.

The structure belongs to space group Pm-3m (No. 221); the cell edges are 4.056, 4.056 and 4.056 Å and the angles 90.00°, 90.00° and 90.00°. The distinct sites, in fractional coordinates, are Ti at (0.000, 0.000, 0.000), H at (0.000, 0.500, 0.500) and Pb at (0.500, 0.500, 0.500).

The calculation puts the volume at 67 Å³/f.u. Its density of states at the Fermi level is 7.4 states/eV/f.u.


Of them, (i) has the highest stability.


(i)
VASP calculation (PBE-GGA) on a relaxed structure of TlHPb.

The structure belongs to space group P-1 (No. 2); the cell edges are 3.482, 6.058 and 7.097 Å and the angles 99.77°, 101.58° and 93.69°. The distinct sites, in fractional coordinates, are Tl at (0.104, 0.213, 0.384), H at (0.392, 0.538, 0.322) and Pb at (0.338, 0.721, 0.115).

The calculation puts the volume at 72 Å³/f.u. Its density of states at the Fermi level is 0.9 states/eV/f.u.


(ii)
VASP calculation (PBE-GGA) on a relaxed structure of TlHPb.

The structure belongs to space group Pnma (No. 62); the cell edges are 9.004, 3.536 and 8.540 Å and the angles 90.00°, 90.00° and 90.00°. The distinct sites, in fractional coordinates, are Tl at (0.013, 0.250, 0.179), H at (0.183, 0.750, 0.384) and Pb at (0.186, 0.250, 0.535).

The calculation puts the volume at 68 Å³/f.u. Its density of states at the Fermi level is 1.3 states/eV/f.u.


(iii)
VASP calculation (PBE-GGA) on a relaxed structure of TlHPb.

The structure belongs to space group Cmcm (No. 63); the cell edges are 5.806, 7.576 and 6.807 Å and the angles 90.00°, 90.00° and 90.00°. The distinct sites, in fractional coordinates, are Tl at (0.000, 0.000, 0.000), H at (0.000, 0.245, 0.250) and Pb at (0.000, 0.499, 0.750).

The calculation puts the volume at 75 Å³/f.u. Its density of states at the Fermi level is 0.7 states/eV/f.u.


Of them, (i) has the highest stability.


(i)
VASP calculation (PBE-GGA) on a relaxed structure of TlH2Pb.

The structure belongs to space group I-42d (No. 122); the cell edges are 5.157, 5.157 and 12.266 Å and the angles 90.00°, 90.00° and 90.00°. The distinct sites, in fractional coordinates, are Tl at (0.000, 0.000, 0.000), H at (0.144, 0.250, 0.625) and Pb at (0.000, 0.000, 0.500).

The calculation puts the volume at 82 Å³/f.u. Its density of states at the Fermi level is 0.9 states/eV/f.u.


(ii)
VASP calculation (PBE-GGA) on a relaxed structure of TlH2Pb.

The structure belongs to space group Fm-3m (No. 225); the cell edges are 6.514, 6.514 and 6.514 Å and the angles 90.00°, 90.00° and 90.00°. The distinct sites, in fractional coordinates, are Tl at (0.000, 0.000, 0.000), H at (0.250, 0.250, 0.250) and Pb at (0.000, 0.000, 0.500).

The calculation puts the volume at 69 Å³/f.u. Its density of states at the Fermi level is 1.7 states/eV/f.u.


Of them, (i) has the highest stability.


(i)
VASP calculation (PBE-GGA) on a relaxed structure of Tl3HPb.

The structure belongs to space group C2/m (No. 12); the cell edges are 19.009, 3.427 and 8.354 Å and the angles 90.00°, 95.48° and 90.00°. The distinct sites, in fractional coordinates, are Tl at (0.020, 0.000, 0.194), Tl at (0.162, 0.500, 0.926), Tl at (0.208, 0.000, 0.328), H at (0.134, 0.000, 0.093) and Pb at (0.088, 0.500, 0.537).

The calculation puts the volume at 135 Å³/f.u. Its density of states at the Fermi level is 1.5 states/eV/f.u.


(ii)
VASP calculation (PBE-GGA) on a relaxed structure of Tl3HPb.

The structure belongs to space group Pm-3m (No. 221); the cell edges are 5.039, 5.039 and 5.039 Å and the angles 90.00°, 90.00° and 90.00°. The distinct sites, in fractional coordinates, are Tl at (0.000, 0.000, 0.500), H at (0.000, 0.000, 0.000) and Pb at (0.500, 0.500, 0.500).

The calculation puts the volume at 128 Å³/f.u. Its density of states at the Fermi level is 2.2 states/eV/f.u.


Of them, (i) has the highest stability.